Entry 1:
Material: LiPuPdAu
Method: DFT, GGA-PBE
State: relaxed

Mass density = 11.4 Mg/m³
Space group = F-43m, No. 216
Energy relative to the elements = -0.36 eV per atom
Energy above the lowest structure with this stoichiometry = 103 meV/atom

Geometry as POSCAR:
```
LiPuPdAu
1.0
4.8563 0.0000 0.0000
2.4281 4.2057 0.0000
2.4281 1.4019 3.9651
Li Pu Au Pd
1 1 1 1
direct
0.7500 0.7500 0.7500
0.2500 0.2500 0.2500
0.5000 0.5000 0.5000
0.0000 0.0000 0.0000
```

Entry 2:
Material: Sn2Te2F
Method: DFT, GGA-PBE
State: relaxed

Mass density = 6.2 Mg/m³
ΔE_f (raw) = -0.41 eV per atom
Space group = P4/mbm, No. 127
Energy above the lowest structure with this stoichiometry = 0 meV/atom

Geometry as POSCAR:
```
Sn2Te2F
1.0
8.2619 0.0000 0.0000
0.0000 8.2619 0.0000
0.0000 0.0000 3.9843
Sn Te F
4 4 2
direct
0.6528 0.8472 0.5000
0.1528 0.6528 0.5000
0.8472 0.3472 0.5000
0.3472 0.1528 0.5000
0.8502 0.6498 0.0000
0.6498 0.1498 0.0000
0.3502 0.8502 0.0000
0.1498 0.3502 0.0000
0.5000 0.5000 0.0000
0.0000 0.0000 0.0000
```